Entry 1:
{"formula": "Ca6Ag3Ge5", "functional": "PBEsol", "state": "relaxed", "magmom_total_mub_per_cell": 0.00, "e_tot_ev_per_atom": -3.967, "dos_ef_per_ev_atom": 0.402, "formation_enthalpy_0k_ev_per_fu": -8.1, "lattice": [[5.3943, -2.2403, 0.0000], [5.3943, 2.2403, 0.0000], [-4.8457, 0.0000, 13.3388]], "species": ["Ca", "Ca", "Ca", "Ca", "Ca", "Ca", "Ag", "Ag", "Ag", "Ge", "Ge", "Ge", "Ge", "Ge"], "frac_coords": [[0.0000, 0.0000, 0.0000], [0.5205, 0.5205, 0.5460], [0.6571, 0.6571, 0.8498], [0.7237, 0.7237, 0.3902], [0.7938, 0.7938, 0.1531], [0.8639, 0.8639, 0.6967], [0.0252, 0.0252, 0.3817], [0.3782, 0.3782, 0.3135], [0.5044, 0.5044, 0.1613], [0.1227, 0.1227, 0.2286], [0.1556, 0.1556, 0.6990], [0.2325, 0.2325, 0.5482], [0.2874, 0.2874, 0.0000], [0.3676, 0.3676, 0.8493]]}


Entry 2:
{"formula": "La7Cd", "functional": "PBEsol", "state": "relaxed", "magmom_total_mub_per_cell": 0.00, "e_tot_ev_per_atom": -4.908, "dos_ef_per_ev_atom": 1.154, "formation_enthalpy_0k_ev_per_fu": -0.6, "lattice": [[0.0000, 5.0221, 5.0221], [5.0221, 0.0000, 5.0221], [5.0221, 5.0221, 0.0000]], "species": ["La", "La", "La", "La", "La", "La", "La", "Cd"], "frac_coords": [[0.0000, 0.0000, 0.0000], [0.0000, 0.0000, 0.5000], [0.0000, 0.5000, 0.0000], [0.0000, 0.5000, 0.5000], [0.5000, 0.0000, 0.0000], [0.5000, 0.0000, 0.5000], [0.5000, 0.5000, 0.0000], [0.5000, 0.5000, 0.5000]]}


Entry 3:
{"formula": "Li17Ag3Sn6", "functional": "PBEsol", "state": "relaxed", "magmom_total_mub_per_cell": 0.00, "e_tot_ev_per_atom": -3.027, "dos_ef_per_ev_atom": 0.300, "formation_enthalpy_0k_ev_per_fu": -9.8, "lattice": [[7.9099, 0.0000, 0.0000], [-3.9550, 6.8502, 0.0000], [0.0000, 0.0000, 8.4626]], "species": ["Li", "Li", "Li", "Li", "Li", "Li", "Li", "Li", "Li", "Li", "Li", "Li", "Li", "Li", "Li", "Li", "Li", "Ag", "Ag", "Ag", "Sn", "Sn", "Sn", "Sn", "Sn", "Sn"], "frac_coords": [[0.0000, 0.0000, 0.3116], [0.0000, 0.2994, 0.8239], [0.0000, 0.3119, 0.5031], [0.0000, 0.6462, 0.3218], [0.0000, 0.6580, 0.0000], [0.2994, 0.0000, 0.8239], [0.3119, 0.0000, 0.5031], [0.3333, 0.6667, 0.4909], [0.3333, 0.6667, 0.8236], [0.3420, 0.3420, 0.0000], [0.3538, 0.3538, 0.3218], [0.6462, 0.0000, 0.3218], [0.6580, 0.0000, 0.0000], [0.6667, 0.3333, 0.4909], [0.6667, 0.3333, 0.8236], [0.6881, 0.6881, 0.5031], [0.7006, 0.7006, 0.8239], [0.0000, 0.0000, 0.6515], [0.3333, 0.6667, 0.1575], [0.6667, 0.3333, 0.1575], [0.0000, 0.3131, 0.1617], [0.0000, 0.6470, 0.6593], [0.3131, 0.0000, 0.1617], [0.3530, 0.3530, 0.6593], [0.6470, 0.0000, 0.6593], [0.6869, 0.6869, 0.1617]]}


Entry 4:
{"formula": "K2LiMgSb", "functional": "PBEsol", "state": "relaxed", "magmom_total_mub_per_cell": 0.00, "raw_formation_energy_ev_per_atom": 0.04, "e_tot_ev_per_atom": -2.064, "dos_ef_per_ev_atom": 0.729, "lattice": [[6.7447, 0.0000, 0.0000], [0.0000, 6.7447, 0.0000], [0.0000, 0.0000, 5.3243]], "species": ["K", "K", "Li", "Mg", "Sb"], "frac_coords": [[0.0000, 0.5000, 0.0000], [0.5000, 0.0000, 0.0000], [0.0000, 0.0000, 0.5000], [0.5000, 0.5000, 0.5000], [0.5000, 0.5000, 0.0000]]}